Material: Nd2HoAl4Pt3
Method: DFT, GGA-PBE
State: relaxed

abc: 4.269 4.269 11.525
angles: 90.00 90.00 90.00
Space group P-4m2 (No. 115)
One atom of each set of equivalent atoms:
Nd: 0.000 0.500 0.228 [2 per cell]
Ho: 0.000 0.000 0.500 [1 per cell]
Al: 0.000 0.000 0.000 [1 per cell]
Al: 0.000 0.500 0.667 [2 per cell]
Al: 0.500 0.500 0.000 [1 per cell]
Pt: 0.000 0.500 0.880 [2 per cell]
Pt: 0.500 0.500 0.500 [1 per cell]

Output
- DOS at the Fermi energy (states/eV/atom) = 0.870
- energy of formation from the pure elements (eV/f.u.) = -9.18
- final energy (eV/atom) = -5.638
- crystal system = tetragonal

***

Material: AlNiH2Pt
Method: DFT, GGA-PBE
State: relaxed

abc: 3.402 3.402 5.190
angles: 90.00 90.00 90.00
Space group P4/mmm (No. 123)
One atom of each set of equivalent atoms:
Al: 0.000 0.000 0.000 [1 per cell]
Ni: 0.500 0.500 0.000 [1 per cell]
H: 0.000 0.500 0.500 [2 per cell]
Pt: 0.000 0.000 0.500 [1 per cell]

Output
- DOS at the Fermi energy (states/eV/atom) = 0.667
- final energy (eV/atom) = -4.316
- crystal system = tetragonal

***

Material: FeTc4W
Method: DFT, GGA-PBE
State: relaxed

abc: 7.158 7.158 7.158
angles: 90.00 90.00 90.00
Space group F-43m (No. 216)
One atom of each set of equivalent atoms:
Fe: 0.000 0.000 0.000 [4 per cell]
Tc: 0.126 0.126 0.626 [16 per cell]
W: 0.250 0.250 0.250 [4 per cell]

Output
- DOS at the Fermi energy (states/eV/atom) = 1.029
- energy of formation from the pure elements (eV/f.u.) = 2.05
- final energy (eV/atom) = -10.139
- crystal system = cubic

***

Look up the final energy of the second one. -4.316 eV/atom

***

Look up the DOS at the Fermi energy of the second one. 0.667 states/eV/atom